(1)
The following is a DFT calculation (PBE with a Hubbard U) of crystalline Mn2ReAgF at its relaxed geometry.

Results
Calculated volume (Å³/f.u.): 106
E_tot (eV for the cell shown): -25.895
Total magnetization (μB per atom): 2.37

Cell lengths 5.142, 5.142, 4.015 Å; angles 90.00, 90.00, 90.00 degrees
Space group P4/mmm (No. 123)
Symmetry-distinct sites (fractional):
Mn 0.000 0.500 0.000
Re 0.000 0.000 0.500
Ag 0.500 0.500 0.000
F 0.500 0.500 0.500



(2)
The following is a DFT calculation (PBE with a Hubbard U) of crystalline MnAgRhF6 at its relaxed geometry.

Results
Calculated volume (Å³/f.u.): 136
E_tot (eV for the cell shown): -90.266
Total magnetization (μB per atom): 0.54

Cell lengths 5.5587, 5.5587, 10.2002 Å; angles 90.00, 90.00, 120.00 degrees
Space group P-31c (No. 163)
Symmetry-distinct sites (fractional):
Mn 0.3333 0.6667 0.2500
Ag 0.0000 0.0000 0.0000
Rh 0.3333 0.6667 0.7500
F 0.0179 0.3690 0.6430



(3)
The following is a DFT calculation (PBE with a Hubbard U) of crystalline MnAgRuF6 at its relaxed geometry.

Results
Calculated volume (Å³/f.u.): 139
E_tot (eV for the cell shown): -93.760
Total magnetization (μB per atom): 0.67

Cell lengths 5.5743, 5.5743, 10.3210 Å; angles 90.00, 90.00, 120.00 degrees
Space group P-31c (No. 163)
Symmetry-distinct sites (fractional):
Mn 0.3333 0.6667 0.2500
Ag 0.0000 0.0000 0.0000
Ru 0.3333 0.6667 0.7500
F 0.0169 0.3685 0.6440



(4)
The following is a DFT calculation (PBE with a Hubbard U) of crystalline ScMnAg2F6 at its relaxed geometry.

Results
Calculated volume (Å³/f.u.): 148
E_tot (eV for the cell shown): -54.262
Total magnetization (μB per atom): 0.50

Cell lengths 5.923, 5.931, 5.933 Å; angles 60.17, 60.16, 60.16 degrees
Space group P-1 (No. 2)
Symmetry-distinct sites (fractional):
Sc 0.000 0.000 0.000
Mn 0.500 0.500 0.500
Ag 0.250 0.251 0.250
F 0.209 0.757 0.277
F 0.243 0.725 0.789
F 0.277 0.210 0.759



(5)
The following is a DFT calculation (PBE with a Hubbard U) of crystalline MnAgSeF2 at its relaxed geometry.

Results
Calculated volume (Å³/f.u.): 90
E_tot (eV for the cell shown): -24.776
Total magnetization (μB per atom): 0.93

Cell lengths 3.926, 3.926, 5.862 Å; angles 90.00, 90.00, 90.00 degrees
Space group P4/mmm (No. 123)
Symmetry-distinct sites (fractional):
Mn 0.000 0.000 0.000
Ag 0.500 0.500 0.500
Se 0.000 0.000 0.500
F 0.000 0.500 0.000



(6)
The following is a DFT calculation (PBE with a Hubbard U) of crystalline MnSiAgF6 at its relaxed geometry.

Results
Calculated volume (Å³/f.u.): 146
E_tot (eV for the cell shown): -95.464
Total magnetization (μB per atom): 0.56

Cell lengths 5.4668, 5.4668, 11.2928 Å; angles 90.00, 90.00, 120.00 degrees
Space group P-31c (No. 163)
Symmetry-distinct sites (fractional):
Mn 0.3333 0.6667 0.2500
Si 0.3333 0.6667 0.7500
Ag 0.0000 0.0000 0.0000
F 0.0638 0.4157 0.6631